Entry 1:
MnB3Te, optimized geometry, DFT GGA-PBE; total energy = -3.68 eV/atom; density of states at the Fermi level = 5.23 states/eV/cell; formation energy without anion corrections = 2784 meV per atom
1.0
4.3695 0.0000 0.0000
0.0000 4.3695 0.0000
0.0000 0.0000 4.3695
Mn B Te
1 3 1
Direct
0.0000 0.0000 0.0000 Mn
0.0000 0.5000 0.5000 B
0.5000 0.0000 0.5000 B
0.5000 0.5000 0.0000 B
0.5000 0.5000 0.5000 Te

Entry 2:
MnBTe2, optimized geometry, DFT GGA-PBE; total energy = -4.60 eV/atom; density of states at the Fermi level = 6.68 states/eV/cell; formation energy without anion corrections = 928 meV per atom
1.0
1.9267 1.1124 6.9462
-1.9267 1.1124 6.9462
0.0000 -2.2247 6.9462
Mn B Te
1 1 2
Direct
0.0000 0.0000 0.0000 Mn
0.5000 0.5000 0.5000 B
0.3987 0.3987 0.3987 Te
0.6013 0.6013 0.6013 Te